A relaxed structure of PmEr3. Source: Alexandria, functional PBE.

- Energy of formation from the pure elements: 0.014 eV per atom
- Total magnetization: 0.001 μB/f.u.
- Uncorrected energy: -18.4 eV/cell

Unit cell a=3.618 b=5.631 c=6.260 alpha=90.00 beta=90.00 gamma=90.00
Fractional positions:
Er 0.500 0.500 0.832
Er 0.000 0.500 0.335
Er 0.500 0.000 0.501
Pm 0.000 0.000 0.999